# CrCdCo2P, relaxed, DFT PBE-GGA
data_CrCdCo2P
_cell_length_a 4.1060
_cell_length_b 4.1060
_cell_length_c 4.7930
_cell_angle_alpha 90.00
_cell_angle_beta 90.00
_cell_angle_gamma 90.00
_symmetry_space_group_name_H-M 'P 1'
_symmetry_Int_Tables_number 1
_symmetry_space_group_name_Hall 'P 1'
loop_
_atom_site_label
_atom_site_fract_x
_atom_site_fract_y
_atom_site_fract_z
_atom_site_occupancy
Cr1 0.0000 0.0000 0.0000 1
Cd1 0.5000 0.5000 0.0000 1
Co1 0.0000 0.5000 0.5000 1
Co2 0.5000 0.0000 0.5000 1
P1 0.5000 0.5000 0.5000 1
# SG: P4/mmm
# Formation energy (meV per atom): 894
# Density (Mg/m³): 6.4
# Crystal system: tetragonal



# ScCr2CdCo, relaxed, DFT PBE-GGA
data_ScCr2CdCo
_cell_length_a 4.9105
_cell_length_b 4.9105
_cell_length_c 4.7603
_cell_angle_alpha 90.00
_cell_angle_beta 90.00
_cell_angle_gamma 90.00
_symmetry_space_group_name_H-M 'P 1'
_symmetry_Int_Tables_number 1
_symmetry_space_group_name_Hall 'P 1'
loop_
_atom_site_label
_atom_site_fract_x
_atom_site_fract_y
_atom_site_fract_z
_atom_site_occupancy
Sc1 0.0000 0.0000 0.0000 1
Cr1 0.0000 0.5000 0.5000 1
Cr2 0.5000 0.0000 0.5000 1
Cd1 0.5000 0.5000 0.5000 1
Co1 0.5000 0.5000 0.0000 1
# SG: P4/mmm
# Formation energy (meV per atom): 1359
# Density (Mg/m³): 4.6
# Crystal system: tetragonal



# CrCdCo2Si, relaxed, DFT PBE-GGA
data_CrCdCo2Si
_cell_length_a 4.6738
_cell_length_b 4.6738
_cell_length_c 4.9020
_cell_angle_alpha 90.00
_cell_angle_beta 90.00
_cell_angle_gamma 90.00
_symmetry_space_group_name_H-M 'P 1'
_symmetry_Int_Tables_number 1
_symmetry_space_group_name_Hall 'P 1'
loop_
_atom_site_label
_atom_site_fract_x
_atom_site_fract_y
_atom_site_fract_z
_atom_site_occupancy
Cr1 0.0000 0.0000 0.0000 1
Cd1 0.0000 0.0000 0.5000 1
Co1 0.0000 0.5000 0.5000 1
Co2 0.5000 0.0000 0.5000 1
Si1 0.5000 0.5000 0.0000 1
# Formation energy (no corrections) (eV/atom): 1.7527
# SG: P4/mmm
# Density (Mg/m³): 4.8
# Crystal system: tetragonal
# Relative energy among the computed polymorphs (meV/atom): 848.6



# CrCdCo2Si, relaxed, DFT PBE-GGA
data_CrCdCo2Si
_cell_length_a 4.2712
_cell_length_b 4.2712
_cell_length_c 4.4212
_cell_angle_alpha 90.00
_cell_angle_beta 90.00
_cell_angle_gamma 90.00
_symmetry_space_group_name_H-M 'P 1'
_symmetry_Int_Tables_number 1
_symmetry_space_group_name_Hall 'P 1'
loop_
_atom_site_label
_atom_site_fract_x
_atom_site_fract_y
_atom_site_fract_z
_atom_site_occupancy
Cr1 0.0000 0.0000 0.0000 1
Cd1 0.5000 0.5000 0.5000 1
Co1 0.0000 0.5000 0.0000 1
Co2 0.5000 0.0000 0.0000 1
Si1 0.0000 0.0000 0.5000 1
# Formation energy (no corrections) (eV/atom): 0.9041
# SG: P4/mmm
# Density (Mg/m³): 6.4
# Crystal system: tetragonal
# Relative energy among the computed polymorphs (meV/atom): 0.0



# CsCd3Co, relaxed, DFT PBE-GGA
data_CsCd3Co
_cell_length_a 5.2386
_cell_length_b 5.2386
_cell_length_c 5.2386
_cell_angle_alpha 90.00
_cell_angle_beta 90.00
_cell_angle_gamma 90.00
_symmetry_space_group_name_H-M 'P 1'
_symmetry_Int_Tables_number 1
_symmetry_space_group_name_Hall 'P 1'
loop_
_atom_site_label
_atom_site_fract_x
_atom_site_fract_y
_atom_site_fract_z
_atom_site_occupancy
Cs1 0.0000 0.0000 0.0000 1
Cd1 0.0000 0.5000 0.5000 1
Cd2 0.5000 0.0000 0.5000 1
Cd3 0.5000 0.5000 0.0000 1
Co1 0.5000 0.5000 0.5000 1
# SG: Pm-3m
# Formation energy (meV per atom): 193
# Density (Mg/m³): 6.1
# Crystal system: cubic
# Relative energy among the computed polymorphs (meV/atom): 0.0



# CsCd3Co, relaxed, DFT PBE-GGA
data_CsCd3Co
_cell_length_a 7.4442
_cell_length_b 7.4442
_cell_length_c 7.4442
_cell_angle_alpha 90.00
_cell_angle_beta 90.00
_cell_angle_gamma 90.00
_symmetry_space_group_name_H-M 'P 1'
_symmetry_Int_Tables_number 1
_symmetry_space_group_name_Hall 'P 1'
loop_
_atom_site_label
_atom_site_fract_x
_atom_site_fract_y
_atom_site_fract_z
_atom_site_occupancy
Cs1 0.0000 0.0000 0.0000 1
Cd1 0.0000 0.0000 0.5000 1
Cd2 0.0000 0.5000 0.0000 1
Cd3 0.5000 0.0000 0.0000 1
Co1 0.5000 0.5000 0.5000 1
# SG: Pm-3m
# Formation energy (meV per atom): 1272
# Density (Mg/m³): 2.1
# Crystal system: cubic
# Relative energy among the computed polymorphs (meV/atom): 1079.5



# CsCd2Co, relaxed, DFT PBE-GGA
data_CsCd2Co
_cell_length_a 7.8924
_cell_length_b 7.8924
_cell_length_c 7.8924
_cell_angle_alpha 90.00
_cell_angle_beta 90.00
_cell_angle_gamma 90.00
_symmetry_space_group_name_H-M 'P 1'
_symmetry_Int_Tables_number 1
_symmetry_space_group_name_Hall 'P 1'
loop_
_atom_site_label
_atom_site_fract_x
_atom_site_fract_y
_atom_site_fract_z
_atom_site_occupancy
Cs1 0.0000 0.0000 0.0000 1
Cs2 0.0000 0.5000 0.5000 1
Cs3 0.5000 0.0000 0.5000 1
Cs4 0.5000 0.5000 0.0000 1
Cd1 0.2500 0.2500 0.2500 1
Cd2 0.2500 0.2500 0.7500 1
Cd3 0.2500 0.7500 0.2500 1
Cd4 0.2500 0.7500 0.7500 1
Cd5 0.7500 0.2500 0.2500 1
Cd6 0.7500 0.2500 0.7500 1
Cd7 0.7500 0.7500 0.2500 1
Cd8 0.7500 0.7500 0.7500 1
Co1 0.0000 0.0000 0.5000 1
Co2 0.0000 0.5000 0.0000 1
Co3 0.5000 0.0000 0.0000 1
Co4 0.5000 0.5000 0.5000 1
# SG: Fm-3m
# Formation energy (meV per atom): 818
# Density (Mg/m³): 5.6
# Crystal system: cubic
# Relative energy among the computed polymorphs (meV/atom): 333.4



# CsCd2Co, relaxed, DFT PBE-GGA
data_CsCd2Co
_cell_length_a 6.1414
_cell_length_b 6.1414
_cell_length_c 16.5091
_cell_angle_alpha 90.00
_cell_angle_beta 90.00
_cell_angle_gamma 90.00
_symmetry_space_group_name_H-M 'P 1'
_symmetry_Int_Tables_number 1
_symmetry_space_group_name_Hall 'P 1'
loop_
_atom_site_label
_atom_site_fract_x
_atom_site_fract_y
_atom_site_fract_z
_atom_site_occupancy
Cs1 0.0000 0.2500 0.3750 1
Cs2 0.0000 0.7500 0.6250 1
Cs3 0.5000 0.2500 0.1250 1
Cs4 0.5000 0.7500 0.8750 1
Cd1 0.0000 0.0000 0.0000 1
Cd2 0.0000 0.5000 0.0000 1
Cd3 0.2500 0.2500 0.7500 1
Cd4 0.2500 0.7500 0.2500 1
Cd5 0.5000 0.0000 0.5000 1
Cd6 0.5000 0.5000 0.5000 1
Cd7 0.7500 0.2500 0.7500 1
Cd8 0.7500 0.7500 0.2500 1
Co1 0.0000 0.2500 0.8750 1
Co2 0.0000 0.7500 0.1250 1
Co3 0.5000 0.2500 0.6250 1
Co4 0.5000 0.7500 0.3750 1
# SG: I4_1/amd
# Formation energy (meV per atom): 485
# Density (Mg/m³): 4.4
# Crystal system: tetragonal
# Relative energy among the computed polymorphs (meV/atom): 0.0



What did the fifth record say?
# CsCd3Co, relaxed, DFT PBE-GGA
data_CsCd3Co
_cell_length_a 5.2386
_cell_length_b 5.2386
_cell_length_c 5.2386
_cell_angle_alpha 90.00
_cell_angle_beta 90.00
_cell_angle_gamma 90.00
_symmetry_space_group_name_H-M 'P 1'
_symmetry_Int_Tables_number 1
_symmetry_space_group_name_Hall 'P 1'
loop_
_atom_site_label
_atom_site_fract_x
_atom_site_fract_y
_atom_site_fract_z
_atom_site_occupancy
Cs1 0.0000 0.0000 0.0000 1
Cd1 0.0000 0.5000 0.5000 1
Cd2 0.5000 0.0000 0.5000 1
Cd3 0.5000 0.5000 0.0000 1
Co1 0.5000 0.5000 0.5000 1
# SG: Pm-3m
# Formation energy (meV per atom): 193
# Density (Mg/m³): 6.1
# Crystal system: cubic
# Relative energy among the computed polymorphs (meV/atom): 0.0



Question: Among the records above, which one has the lowest density?
Answer: number 6



Question: What is the density in the third record?
Answer: 4.8 Mg/m³